Record 1
Entry from Alexandria via LeMat-Bulk: an optimized crystal structure of Nd3U2Tc4 (PBE-GGA).

Summary:
Density of states at the Fermi level ... 7.559 states/eV/f.u.
Energy of formation ... -0.10 eV per atom
Space group ... C2/m
Crystal system ... monoclinic

Cell lengths 6.0974, 6.0974, 8.9957 Å; angles 101.99, 101.99, 40.92 degrees
Closest atoms and distances in Å follow each position.
Positions (direct):
Nd 0.0000 0.0000 0.0000  8 Tc 3.35-3.60
Nd 0.3749 0.3749 0.6170  6 Tc 3.09-3.31, 1 U 3.39
Nd 0.6251 0.6251 0.3830  6 Tc 3.09-3.31, 1 U 3.39
U 0.3271 0.3271 0.2222  5 Tc 2.54-2.79
U 0.6729 0.6729 0.7778  5 Tc 2.54-2.79
Tc 0.0896 0.0896 0.6410  2 U 2.54, 1 Tc 2.77
Tc 0.2689 0.2689 0.9044  3 U 2.55-2.79, 3 Tc 2.77-2.83
Tc 0.7311 0.7311 0.0956  3 U 2.55-2.79, 3 Tc 2.77-2.83
Tc 0.9104 0.9104 0.3590  2 U 2.54, 1 Tc 2.77

---

Record 2
Entry from Alexandria via LeMat-Bulk: an optimized crystal structure of Li4TlSn (PBE-GGA).

Summary:
Density of states at the Fermi level ... 1.583 states/eV/f.u.
Energy of formation ... -0.29 eV per atom
Space group ... C2/m
Crystal system ... monoclinic
ΔE to the lowest computed polymorph ... 0 meV/atom

Cell lengths 8.0808, 4.6834, 6.0715 Å; angles 90.00, 90.52, 90.00 degrees
Closest atoms and distances in Å follow each position.
Positions (direct):
Li 0.1668 0.0000 0.1896  4 Li 2.76-2.86, 3 Sn 2.93-2.94
Li 0.1669 0.0000 0.7178  4 Li 2.76-2.86, 3 Tl 3.00-3.01
Li 0.3331 0.5000 0.2822  4 Li 2.76-2.86, 3 Tl 3.00-3.01
Li 0.3332 0.5000 0.8104  4 Li 2.76-2.86, 3 Sn 2.93-2.94
Li 0.6668 0.5000 0.1896  4 Li 2.76-2.86, 3 Sn 2.93-2.94
Li 0.6669 0.5000 0.7178  4 Li 2.76-2.86, 3 Tl 3.00-3.01
Li 0.8331 0.0000 0.2822  4 Li 2.76-2.86, 3 Tl 3.00-3.01
Li 0.8332 0.0000 0.8104  4 Li 2.76-2.86, 3 Sn 2.93-2.94
Tl 0.0000 0.5000 0.5000  12 Li 3.00-3.30, 2 Sn 3.04
Tl 0.5000 0.0000 0.5000  12 Li 3.00-3.30, 2 Sn 3.04
Sn 0.0000 0.5000 0.0000  12 Li 2.93-3.21, 2 Tl 3.04
Sn 0.5000 0.0000 0.0000  12 Li 2.93-3.21, 2 Tl 3.04

---

Record 3
Entry from Alexandria via LeMat-Bulk: an optimized crystal structure of K2LaSb (PBE-GGA).

Summary:
Density of states at the Fermi level ... 3.192 states/eV/f.u.
Space group ... P4/mmm
Crystal system ... tetragonal
Formation energy from raw total energies ... -0.283 eV/atom

Cell lengths 4.8514, 4.8514, 6.4248 Å; angles 90.00, 90.00, 90.00 degrees
Closest atoms and distances in Å follow each position.
Positions (direct):
K 0.0000 0.5000 0.0000  4 K 3.43
K 0.5000 0.0000 0.0000  4 K 3.43
La 0.0000 0.0000 0.5000  4 Sb 3.43
Sb 0.5000 0.5000 0.5000  4 La 3.43

---

Record 4
Entry from Alexandria via LeMat-Bulk: an optimized crystal structure of LiLa2Er (PBE-GGA).

Summary:
Density of states at the Fermi level ... 3.910 states/eV/f.u.
Energy of formation ... 0.06 eV per atom
Space group ... R3m
Crystal system ... trigonal
ΔE to the lowest computed polymorph ... 0 meV/atom

Cell lengths 3.6195, 3.6195, 34.5086 Å; angles 90.00, 90.00, 120.00 degrees
Closest atoms and distances in Å follow each position.
Positions (direct):
Li 0.0000 0.0000 0.0000  6 La 3.54-3.57, 6 Li 3.62
Li 0.3333 0.6667 0.6667  6 La 3.54-3.57, 6 Li 3.62
Li 0.6667 0.3333 0.3333  6 La 3.54-3.57, 6 Li 3.62
La 0.0000 0.0000 0.4173  3 Er 3.56, 3 Li 3.57, 6 La 3.62
La 0.0000 0.0000 0.5840  3 Li 3.54, 3 Er 3.55, 6 La 3.62
La 0.3333 0.6667 0.0840  3 Er 3.56, 3 Li 3.57, 6 La 3.62
La 0.3333 0.6667 0.2507  3 Li 3.54, 3 Er 3.55, 6 La 3.62
La 0.6667 0.3333 0.7507  3 Er 3.56, 3 Li 3.57, 6 La 3.62
La 0.6667 0.3333 0.9173  3 Li 3.54, 3 Er 3.55, 6 La 3.62
Er 0.0000 0.0000 0.1674  6 La 3.55-3.56, 6 Er 3.62
Er 0.3333 0.6667 0.8341  6 La 3.55-3.56, 6 Er 3.62
Er 0.6667 0.3333 0.5008  6 La 3.55-3.56, 6 Er 3.62

---

Record 5
Entry from Alexandria via LeMat-Bulk: an optimized crystal structure of Al2MoOs (PBE-GGA).

Summary:
Density of states at the Fermi level ... 3.191 states/eV/f.u.
Energy of formation ... 0.09 eV per atom
Space group ... Cmm2
Crystal system ... orthorhombic
ΔE to the lowest computed polymorph ... 419 meV/atom

Cell lengths 3.0467, 4.5897, 8.7691 Å; angles 90.00, 90.00, 90.00 degrees
Closest atoms and distances in Å follow each position.
Positions (direct):
Al 0.0000 0.0000 0.0000  2 Mo 2.67, 6 Al 2.75-2.79
Al 0.0000 0.5000 0.2660  2 Os 2.57, 6 Al 2.75-2.79
Al 0.5000 0.0000 0.2660  2 Os 2.57, 6 Al 2.75-2.79
Al 0.5000 0.5000 0.0000  2 Mo 2.67, 6 Al 2.75-2.79
Mo 0.0000 0.5000 0.7499  2 Os 2.65, 2 Al 2.67, 4 Mo 2.75
Mo 0.5000 0.0000 0.7499  2 Os 2.65, 2 Al 2.67, 4 Mo 2.75
Os 0.0000 0.0000 0.5026  2 Al 2.57, 2 Mo 2.65, 4 Os 2.75
Os 0.5000 0.5000 0.5026  2 Al 2.57, 2 Mo 2.65, 4 Os 2.75

---

Record 6
Entry from Alexandria via LeMat-Bulk: an optimized crystal structure of Tb12Ho2Tl (PBE-GGA).

Summary:
Density of states at the Fermi level ... 20.955 states/eV/f.u.
Energy of formation ... 0.07 eV per atom
Space group ... C2/m
Crystal system ... monoclinic

Cell lengths 6.6699, 6.6699, 23.9427 Å; angles 94.25, 94.25, 115.01 degrees
Closest atoms and distances in Å follow each position.
Positions (direct):
Tb 0.0434 0.0434 0.3727  1 Tl 3.20, 4 Tb 3.25-3.58
Tb 0.0822 0.5823 0.4321  2 Tl 3.34, 9 Tb 3.51-3.66
Tb 0.0884 0.0884 0.9224  8 Tb 3.37-3.63
Tb 0.0996 0.5983 0.9432  10 Tb 3.23-3.58
Tb 0.2061 0.7057 0.1741  3 Tb 3.08-3.31
Tb 0.2316 0.7313 0.6959  3 Tb 3.08-3.25
Tb 0.2687 0.7684 0.3041  3 Tb 3.08-3.25
Tb 0.2943 0.7939 0.8259  3 Tb 3.08-3.31
Tb 0.4017 0.9004 0.0568  10 Tb 3.23-3.58
Tb 0.4098 0.4098 0.0769  8 Tb 3.36-3.64
Tb 0.4177 0.9178 0.5679  2 Tl 3.34, 9 Tb 3.51-3.66
Tb 0.4565 0.4565 0.6271  1 Tl 3.20, 4 Tb 3.25-3.58
Tb 0.5435 0.5435 0.3729  1 Tl 3.20, 4 Tb 3.25-3.58
Tb 0.5823 0.0822 0.4321  2 Tl 3.34, 9 Tb 3.51-3.66
Tb 0.5902 0.5902 0.9231  8 Tb 3.36-3.64
Tb 0.5983 0.0996 0.9432  10 Tb 3.23-3.58
Tb 0.7057 0.2061 0.1741  3 Tb 3.08-3.31
Tb 0.7313 0.2316 0.6959  3 Tb 3.08-3.25
Tb 0.7684 0.2687 0.3041  3 Tb 3.08-3.25
Tb 0.7939 0.2943 0.8259  3 Tb 3.08-3.31
Tb 0.9004 0.4017 0.0568  10 Tb 3.23-3.58
Tb 0.9116 0.9116 0.0776  8 Tb 3.37-3.63
Tb 0.9178 0.4177 0.5679  2 Tl 3.34, 9 Tb 3.51-3.66
Tb 0.9566 0.9566 0.6273  1 Tl 3.20, 4 Tb 3.25-3.58
Ho 0.2327 0.2327 0.2333  2 Ho 3.58-3.59, 10 Tb 3.62-3.77
Ho 0.2669 0.2669 0.7668  2 Ho 3.58-3.59, 10 Tb 3.61-3.78
Ho 0.7331 0.7331 0.2332  2 Ho 3.58-3.59, 10 Tb 3.61-3.78
Ho 0.7673 0.7673 0.7667  2 Ho 3.58-3.59, 10 Tb 3.62-3.77
Tl 0.2499 0.2499 0.4999  6 Tb 3.20-3.34
Tl 0.7501 0.7501 0.5001  6 Tb 3.20-3.34

---

Record 7
Entry from Alexandria via LeMat-Bulk: an optimized crystal structure of TbCeSm6Ho2 (PBE-GGA).

Summary:
Density of states at the Fermi level ... 22.846 states/eV/f.u.
Energy of formation ... 0.25 eV per atom
Space group ... C2/m
Crystal system ... monoclinic

Cell lengths 6.6555, 6.6555, 8.8689 Å; angles 102.50, 102.50, 62.55 degrees
Closest atoms and distances in Å follow each position.
Positions (direct):
Tb 0.0000 0.0000 0.0000  4 Sm 3.31, 2 Ho 3.36
Ce 0.5000 0.5000 0.5000  6 Sm 3.47-3.61, 4 Ho 3.79
Sm 0.0648 0.5914 0.7000  2 Ho 3.22-3.47, 2 Sm 3.27-3.55, 1 Tb 3.31, 1 Ce 3.47
Sm 0.3736 0.3736 0.0835  7 Sm 3.55-3.90, 1 Ce 3.61, 2 Tb 3.88
Sm 0.4086 0.9352 0.3000  2 Ho 3.22-3.47, 2 Sm 3.27-3.55, 1 Tb 3.31, 1 Ce 3.47
Sm 0.5914 0.0648 0.7000  2 Ho 3.22-3.47, 2 Sm 3.27-3.55, 1 Tb 3.31, 1 Ce 3.47
Sm 0.6264 0.6264 0.9165  7 Sm 3.55-3.90, 1 Ce 3.61, 2 Tb 3.88
Sm 0.9352 0.4086 0.3000  2 Ho 3.22-3.47, 2 Sm 3.27-3.55, 1 Tb 3.31, 1 Ce 3.47
Ho 0.0895 0.0895 0.6665  1 Ho 3.13, 4 Sm 3.22-3.47, 1 Tb 3.36
Ho 0.9105 0.9105 0.3335  1 Ho 3.13, 4 Sm 3.22-3.47, 1 Tb 3.36

---

Record 8
Entry from Alexandria via LeMat-Bulk: an optimized crystal structure of La3Nd6SmHo2 (PBE-GGA).

Summary:
Density of states at the Fermi level ... 20.344 states/eV/f.u.
Energy of formation ... 0.02 eV per atom
Space group ... C2/m
Crystal system ... monoclinic

Cell lengths 6.3588, 6.3588, 12.1579 Å; angles 95.03, 95.03, 120.04 degrees
Closest atoms and distances in Å follow each position.
Positions (direct):
La 0.0000 0.0000 0.0000  6 La 3.67, 6 Nd 3.72
La 0.3332 0.6668 0.0000  6 La 3.67-3.68, 6 Nd 3.72
La 0.6668 0.3332 0.0000  6 La 3.67-3.68, 6 Nd 3.72
Nd 0.0844 0.4185 0.2555  2 Ho 3.61, 1 Sm 3.62, 6 Nd 3.67-3.68, 3 La 3.72
Nd 0.2474 0.2474 0.7444  2 Ho 3.61, 1 Sm 3.62, 6 Nd 3.67-3.68, 3 La 3.72
Nd 0.4185 0.0844 0.2555  2 Ho 3.61, 1 Sm 3.62, 6 Nd 3.67-3.68, 3 La 3.72
Nd 0.5815 0.9156 0.7445  2 Ho 3.61, 1 Sm 3.62, 6 Nd 3.67-3.68, 3 La 3.72
Nd 0.7526 0.7526 0.2556  2 Ho 3.61, 1 Sm 3.62, 6 Nd 3.67-3.68, 3 La 3.72
Nd 0.9156 0.5815 0.7445  2 Ho 3.61, 1 Sm 3.62, 6 Nd 3.67-3.68, 3 La 3.72
Sm 0.5000 0.5000 0.5000  6 Nd 3.62, 6 Ho 3.67
Ho 0.1668 0.8332 0.5000  6 Nd 3.61, 3 Ho 3.67, 3 Sm 3.67
Ho 0.8332 0.1668 0.5000  6 Nd 3.61, 3 Ho 3.67, 3 Sm 3.67

---

Record 9
Entry from Alexandria via LeMat-Bulk: an optimized crystal structure of K2YErS4 (PBE-GGA).

Summary:
Density of states at the Fermi level ... 0.000 states/eV/f.u.
Space group ... P2/m
Crystal system ... monoclinic
Formation energy from raw total energies ... -1.891 eV/atom

Cell lengths 6.9938, 4.0376, 7.7272 Å; angles 90.00, 107.55, 90.00 degrees
Closest atoms and distances in Å follow each position.
Positions (direct):
K 0.0000 0.0000 0.0000  6 S 3.22
K 0.5000 0.5000 0.0000  6 S 3.20
Y 0.0000 0.5000 0.5000  6 S 2.77
Er 0.5000 0.0000 0.5000  6 S 2.75
S 0.2361 0.0000 0.7016  1 Er 2.75, 2 Y 2.77
S 0.2688 0.5000 0.2994  2 Er 2.75, 1 Y 2.77
S 0.7312 0.5000 0.7006  2 Er 2.75, 1 Y 2.77
S 0.7639 0.0000 0.2984  1 Er 2.75, 2 Y 2.77

---

Record 10
Entry from Alexandria via LeMat-Bulk: an optimized crystal structure of CaAgOs2 (PBE-GGA).

Summary:
Density of states at the Fermi level ... 3.443 states/eV/f.u.
Energy of formation ... 0.74 eV per atom
Space group ... Cmmm
Crystal system ... orthorhombic
ΔE to the lowest computed polymorph ... 415 meV/atom

Cell lengths 5.6951, 9.2971, 2.6094 Å; angles 90.00, 90.00, 90.00 degrees
Closest atoms and distances in Å follow each position.
Positions (direct):
Ca 0.0000 0.0000 0.0000  2 Ca 2.61, 2 Ag 2.85
Ca 0.5000 0.5000 0.0000  2 Ca 2.61, 2 Ag 2.85
Ag 0.0000 0.5000 0.0000  2 Ag 2.61, 2 Ca 2.85
Ag 0.5000 0.0000 0.0000  2 Ag 2.61, 2 Ca 2.85
Os 0.2500 0.2500 0.5000  4 Os 2.61-2.85
Os 0.2500 0.7500 0.5000  4 Os 2.61-2.85
Os 0.7500 0.2500 0.5000  4 Os 2.61-2.85
Os 0.7500 0.7500 0.5000  4 Os 2.61-2.85

---

Record 11
Entry from Alexandria via LeMat-Bulk: an optimized crystal structure of K3Pr3BiO8 (PBE-GGA).

Summary:
Density of states at the Fermi level ... 2.443 states/eV/f.u.
Space group ... R-3m
Crystal system ... trigonal
Formation energy from raw total energies ... -2.275 eV/atom

Cell lengths 7.6281, 7.6281, 7.6281 Å; angles 56.92, 56.92, 56.92 degrees
Closest atoms and distances in Å follow each position.
Positions (direct):
K 0.0000 0.5000 0.5000  6 O 2.87-2.89
K 0.5000 0.0000 0.5000  6 O 2.87-2.89
K 0.5000 0.5000 0.0000  6 O 2.87-2.89
Pr 0.0000 0.0000 0.5000  6 O 2.41-2.46
Pr 0.0000 0.5000 0.0000  6 O 2.41-2.46
Pr 0.5000 0.0000 0.0000  6 O 2.41-2.46
Bi 0.5000 0.5000 0.5000  6 O 2.31
O 0.2290 0.2290 0.2290  3 Pr 2.41
O 0.2460 0.7191 0.7191  1 Bi 2.31, 2 Pr 2.46
O 0.2809 0.2809 0.7540  1 Bi 2.31, 2 Pr 2.46
O 0.2809 0.7540 0.2809  1 Bi 2.31, 2 Pr 2.46
O 0.7191 0.2460 0.7191  1 Bi 2.31, 2 Pr 2.46
O 0.7191 0.7191 0.2460  1 Bi 2.31, 2 Pr 2.46
O 0.7540 0.2809 0.2809  1 Bi 2.31, 2 Pr 2.46
O 0.7710 0.7710 0.7710  3 Pr 2.41

---

Which raw total energy belongs to each record? In order, -0.3237, -0.0967, -0.1137, -0.1477, -0.2680, -0.1618, -0.1674, -0.1747, -0.2061, -0.2236, -0.2335 hartree per atom.